{
  "formula": "Tm2AlVO6",
  "functional": "GGA+U",
  "state": "optimized geometry",
  "energy_ev_per_atom": -8.056,
  "m_tot_mub_per_fu": 2.00,
  "cell": [[-4.406, 2.927, -0.818], [-2.485, -0.171, -4.735], [-4.852, -2.518, -0.383]],
  "species": ["Tm", "Tm", "Al", "V", "O", "O", "O", "O", "O", "O"],
  "frac_coords": [[0.537, 0.537, 0.389], [0.039, 0.039, 0.883], [0.315, 0.315, 0.054], [0.815, 0.815, 0.556], [0.582, 0.176, 0.265], [0.176, 0.977, 0.265], [0.977, 0.582, 0.265], [0.461, 0.662, 0.779], [0.662, 0.098, 0.779], [0.098, 0.461, 0.779]]
}